[1]
VASP calculation (GGA-PBE) on an optimized crystal structure of Pr2Si3Pd2.

The energy above the most stable polymorph in this dataset is 96 meV per atom. The uncorrected formation energy comes out at -757.2 meV per atom.

The space group is C2/m (No. 12) and the conventional cell measures 11.0198, 4.1660 and 6.4539 Å, with angles of 90.00, 102.01 and 90.00 degrees. Symmetry generates all atoms from Pr at (0.1727, 0.0000, 0.2258), Si at (0.0000, 0.5000, 0.5000), Si at (0.0732, 0.5000, 0.8915) and Pd at (0.0961, 0.0000, 0.6932).

[2]
VASP calculation (GGA-PBE) on an optimized crystal structure of PrSiPd2.

The uncorrected formation energy comes out at -891.2 meV per atom.

The space group is Pnma (No. 62) and the conventional cell measures 7.6176, 6.9806 and 5.7250 Å, with angles of 90.00, 90.00 and 90.00 degrees. Symmetry generates all atoms from Pr at (0.0303, 0.2500, 0.1433), Si at (0.1250, 0.7500, 0.3530) and Pd at (0.1736, 0.0527, 0.5931).

[3]
VASP calculation (GGA-PBE) on an optimized crystal structure of Pr2Si7Pd12.

The uncorrected formation energy comes out at -799.6 meV per atom.

The space group is P-3 (No. 147) and the conventional cell measures 10.0552, 10.0552 and 3.9084 Å, with angles of 90.00, 90.00 and 120.00 degrees. Symmetry generates all atoms from Pr at (0.3333, 0.6667, 0.2533), Si at (0.0000, 0.0000, 0.0000), Si at (0.1137, 0.7104, 0.7497), Pd at (0.0596, 0.4397, 0.7488) and Pd at (0.1117, 0.2565, 0.2500).